{
  "formula": "MgRuW2",
  "functional": "PBE-GGA",
  "state": "relaxed",
  "magnetic_moment_mub_per_fu": 0.0,
  "e_form_kj_per_mol_fu": 113,
  "cell": [[-1.551, 2.310, 4.443], [1.551, -2.310, 4.443], [1.551, 2.310, -4.443]],
  "species": ["Mg", "Ru", "W", "W"],
  "frac_coords": [[0.000, 0.000, 0.000], [0.746, 0.246, 0.500], [0.273, 0.773, 0.500], [0.507, 0.507, 0.000]]
}


{
  "formula": "Mg2RuW",
  "functional": "PBE-GGA",
  "state": "relaxed",
  "magnetic_moment_mub_per_fu": 0.0,
  "relative_energy_mev_per_atom": 883,
  "e_form_kj_per_mol_fu": 352,
  "cell": [[-3.657, 3.657, 2.618], [3.657, -3.657, 2.618], [3.657, 3.657, -2.618]],
  "species": ["Mg", "Mg", "Mg", "Mg", "Ru", "Ru", "W", "W"],
  "frac_coords": [[0.104, 0.125, 0.479], [0.375, 0.896, 0.021], [0.646, 0.625, 0.521], [0.875, 0.354, 0.979], [0.000, 0.000, 0.000], [0.750, 0.250, 0.500], [0.250, 0.750, 0.500], [0.500, 0.500, 0.000]]
}


Copy entry 1 word for word.
{
  "formula": "MgRuW2",
  "functional": "PBE-GGA",
  "state": "relaxed",
  "magnetic_moment_mub_per_fu": 0.0,
  "e_form_kj_per_mol_fu": 113,
  "cell": [[-1.551, 2.310, 4.443], [1.551, -2.310, 4.443], [1.551, 2.310, -4.443]],
  "species": ["Mg", "Ru", "W", "W"],
  "frac_coords": [[0.000, 0.000, 0.000], [0.746, 0.246, 0.500], [0.273, 0.773, 0.500], [0.507, 0.507, 0.000]]
}